(1)
Compound: KAsOs2
Source: the Alexandria database
Functional: GGA-PBE
Structure: relaxed

Geometry as POSCAR:
```
KAsOs2
1.0
3.9051 0.0000 0.0000
0.0000 3.9051 0.0000
0.0000 0.0000 4.7044
K As Os
1 1 2
Direct
0.0000 0.0000 0.0000
0.5000 0.5000 0.0000
0.0000 0.5000 0.5000
0.5000 0.0000 0.5000
```

As for the space group: P4/mmm (123). For the calculated formation energy, the calculation gives 1.4944 eV per atom. The value obtained for the density of states at the Fermi level is 1.133 states/eV/atom. The calculation puts the total magnetization at 0.0 Bohr magnetons per cell.


(2)
Compound: Y4ErAl
Source: the Alexandria database
Functional: GGA-PBE
Structure: relaxed

Geometry as POSCAR:
```
Y4ErAl
1.0
3.5436 0.0000 0.0000
0.0000 3.5436 0.0000
0.0000 0.0000 14.0239
Y Er Al
4 1 1
Direct
0.0000 0.0000 0.1353
0.0000 0.0000 0.8647
0.5000 0.5000 0.3224
0.5000 0.5000 0.6776
0.0000 0.0000 0.5000
0.5000 0.5000 0.0000
```

As for the space group: P4/mmm (123). For the calculated formation energy, the calculation gives -0.1283 eV per atom. The value obtained for the density of states at the Fermi level is 1.103 states/eV/atom. The calculation puts the total magnetization at 0.0 Bohr magnetons per cell.


(3)
Compound: Ac2BiTe2O2
Source: the Alexandria database
Functional: GGA-PBE
Structure: relaxed

Geometry as POSCAR:
```
Ac2BiTe2O2
1.0
4.1047 0.0000 0.0000
-2.0523 3.5548 0.0000
0.0000 0.0000 14.5083
Ac Bi Te O
2 1 2 2
Direct
0.3333 0.6667 0.2943
0.6667 0.3333 0.7057
0.0000 0.0000 0.5000
0.0000 0.0000 0.0903
0.0000 0.0000 0.9097
0.3333 0.6667 0.7185
0.6667 0.3333 0.2815
```

As for the space group: P-3m1 (164). The value obtained for the density of states at the Fermi level is 0.407 states/eV/atom. The calculation puts the total magnetization at 0.0 Bohr magnetons per cell.


(4)
Compound: Sm12Cu3H5
Source: the Alexandria database
Functional: GGA-PBE
Structure: relaxed

Geometry as POSCAR:
```
Sm12Cu3H5
1.0
-7.7277 7.7277 7.7277
7.7277 -7.7277 7.7277
7.7277 7.7277 -7.7277
Sm Cu H
48 12 20
Direct
0.0220 0.2126 0.1149
0.0220 0.3094 0.9071
0.0929 0.6149 0.4023
0.0929 0.9780 0.6906
0.0977 0.7126 0.6906
0.0977 0.8851 0.4071
0.1149 0.0220 0.2126
0.1149 0.5929 0.9023
0.1906 0.2126 0.5977
0.1906 0.4780 0.5929
0.2126 0.1149 0.0220
0.2126 0.5977 0.1906
0.2874 0.3094 0.9023
0.2874 0.4780 0.3851
0.3094 0.9023 0.2874
0.3094 0.9071 0.0220
0.3851 0.2874 0.4780
0.3851 0.5977 0.9071
0.4023 0.0929 0.6149
0.4023 0.8094 0.7874
0.4071 0.0977 0.8851
0.4071 0.8094 0.5220
0.4780 0.3851 0.2874
0.4780 0.5929 0.1906
0.5220 0.4071 0.8094
0.5220 0.6149 0.7126
0.5929 0.1906 0.4780
0.5929 0.9023 0.1149
0.5977 0.1906 0.2126
0.5977 0.9071 0.3851
0.6149 0.4023 0.0929
0.6149 0.7126 0.5220
0.6906 0.0929 0.9780
0.6906 0.0977 0.7126
0.7126 0.5220 0.6149
0.7126 0.6906 0.0977
0.7874 0.4023 0.8094
0.7874 0.8851 0.9780
0.8094 0.5220 0.4071
0.8094 0.7874 0.4023
0.8851 0.4071 0.0977
0.8851 0.9780 0.7874
0.9023 0.1149 0.5929
0.9023 0.2874 0.3094
0.9071 0.0220 0.3094
0.9071 0.3851 0.5977
0.9780 0.6906 0.0929
0.9780 0.7874 0.8851
0.1250 0.2500 0.3750
0.1250 0.3750 0.7500
0.2500 0.3750 0.1250
0.2500 0.8750 0.6250
0.3750 0.1250 0.2500
0.3750 0.7500 0.1250
0.6250 0.2500 0.8750
0.6250 0.8750 0.7500
0.7500 0.1250 0.3750
0.7500 0.6250 0.8750
0.8750 0.6250 0.2500
0.8750 0.7500 0.6250
0.0000 0.0000 0.0000
0.0000 0.0000 0.5000
0.0000 0.5000 0.0000
0.0000 0.5000 0.5000
0.1250 0.7500 0.8750
0.1250 0.8750 0.2500
0.2500 0.1250 0.8750
0.2500 0.6250 0.3750
0.3750 0.2500 0.6250
0.3750 0.6250 0.7500
0.5000 0.0000 0.0000
0.5000 0.0000 0.5000
0.5000 0.5000 0.0000
0.5000 0.5000 0.5000
0.6250 0.3750 0.2500
0.6250 0.7500 0.3750
0.7500 0.3750 0.6250
0.7500 0.8750 0.1250
0.8750 0.1250 0.7500
0.8750 0.2500 0.1250
```

As for the space group: Ia-3d (230). The value obtained for the density of states at the Fermi level is 1.002 states/eV/atom. The calculation puts the total magnetization at 0.0 Bohr magnetons per cell.


(5)
Compound: Pm2IrRu
Source: the Alexandria database
Functional: GGA-PBE
Structure: relaxed

Geometry as POSCAR:
```
Pm2IrRu
1.0
4.9430 0.0000 0.0000
0.0000 4.9430 0.0000
0.0000 0.0000 3.5270
Pm Ir Ru
2 1 1
Direct
0.0000 0.5000 0.0000
0.5000 0.0000 0.0000
0.0000 0.0000 0.5000
0.5000 0.5000 0.5000
```

As for the space group: P4/mmm (123). For the calculated formation energy, the calculation gives -0.3675 eV per atom. The value obtained for the density of states at the Fermi level is 0.739 states/eV/atom. The calculation puts the total magnetization at 0.0 Bohr magnetons per cell.


(6)
Compound: NbHgPd3
Source: the Alexandria database
Functional: GGA-PBE
Structure: relaxed

Geometry as POSCAR:
```
NbHgPd3
1.0
4.8823 0.0000 0.0000
0.0000 4.8823 0.0000
0.0000 0.0000 4.8823
Nb Hg Pd
1 1 3
Direct
0.0000 0.0000 0.0000
0.5000 0.5000 0.5000
0.0000 0.0000 0.5000
0.0000 0.5000 0.0000
0.5000 0.0000 0.0000
```

As for the space group: Pm-3m (221). For the calculated formation energy, the calculation gives 0.8535 eV per atom. The value obtained for the density of states at the Fermi level is 1.043 states/eV/atom. The calculation puts the total magnetization at 0.0 Bohr magnetons per cell.


(7)
Compound: MgAsH
Source: the Alexandria database
Functional: GGA-PBE
Structure: relaxed

Geometry as POSCAR:
```
MgAsH
1.0
6.5959 0.0000 0.0000
0.0000 6.9899 0.0000
0.0000 0.0000 4.2611
Mg As H
4 4 4
Direct
0.0000 0.0000 0.0000
0.0000 0.5000 0.0000
0.5000 0.0000 0.5000
0.5000 0.5000 0.5000
0.1779 0.2500 0.4064
0.3221 0.7500 0.9064
0.6779 0.2500 0.0936
0.8221 0.7500 0.5936
0.0072 0.7500 0.3587
0.4928 0.2500 0.8587
0.5072 0.7500 0.1413
0.9928 0.2500 0.6413
```

As for the space group: Pnma (62). The value obtained for the density of states at the Fermi level is 0.000 states/eV/atom. The calculation puts the total magnetization at 0.0 Bohr magnetons per cell.


(8)
Compound: KCa2ReP
Source: the Alexandria database
Functional: GGA-PBE
Structure: relaxed

Geometry as POSCAR:
```
KCa2ReP
1.0
5.5821 0.0000 0.0000
0.0000 5.5821 0.0000
0.0000 0.0000 5.1255
K Ca Re P
1 2 1 1
Direct
0.0000 0.0000 0.0000
0.0000 0.5000 0.0000
0.5000 0.0000 0.0000
0.5000 0.5000 0.5000
0.0000 0.0000 0.5000
```

As for the space group: P4/mmm (123). For the calculated formation energy, the calculation gives 1.8593 eV per atom. The value obtained for the density of states at the Fermi level is 1.176 states/eV/atom. The calculation puts the total magnetization at 3.4 Bohr magnetons per cell.


no.,VASP energy (eV per atom)
1,-5.5572
2,-5.8219
3,-5.6516
4,-4.4670
5,-7.2771
6,-4.3365
7,-3.3851
8,-2.7324